Record 1
Compound: NpSnSb2
Source: Alexandria via LeMat-Bulk
Functional: PBE
Structure: relaxed Values from VASP.

```
&SYSTEM
  ibrav = 0, nat = 4, ntyp = 3
/
ATOMIC_SPECIES
Np 237.00 Np.upf
Sn 118.71 Sn.upf
Sb 121.76 Sb.upf
CELL_PARAMETERS angstrom
2.3608 1.3630 6.4568
-2.3608 1.3630 6.4568
0.0000 -2.7261 6.4568
ATOMIC_POSITIONS angstrom
Np 0.0000 0.0000 0.0000
Sn 0.0000 0.0000 3.3743
Sb 0.0000 0.0000 7.8826
Sb 0.0000 0.0000 11.3760
```

Its excess energy over the best structure of this formula in the dataset is 20.7 kJ/mol of atoms. Its space group is No. 160. The total magnetization comes out at 3.72 μB per cell. The calculation puts the total DFT energy (no corrections) at -6.2305 eV per atom. The calculation puts the density of states at the Fermi level at 3.097 states/eV per atom.



Record 2
Compound: Pu2Si4Pd3
Source: Alexandria via LeMat-Bulk
Functional: PBE
Structure: relaxed Values from VASP.

```
&SYSTEM
  ibrav = 0, nat = 18, ntyp = 3
/
ATOMIC_SPECIES
Pu 244.00 Pu.upf
Si 28.09 Si.upf
Pd 106.42 Pd.upf
CELL_PARAMETERS angstrom
2.8062 -7.4563 0.0000
2.8062 7.4563 0.0000
0.0000 0.0000 7.3538
ATOMIC_POSITIONS angstrom
Pu 2.8062 5.9624 6.6564
Pu 2.8062 1.4939 2.9795
Pu 2.8062 -1.4939 4.3743
Pu 2.8062 -5.9624 0.6974
Si 2.8062 4.7995 3.8329
Si 1.4031 0.9491 5.5153
Si 1.4031 -0.9491 1.8384
Si 2.8062 2.6568 0.1560
Si 2.8062 -2.6568 7.1978
Si 4.2093 0.9491 5.5153
Si 4.2093 -0.9491 1.8384
Si 2.8062 -4.7995 3.5209
Pd 0.0000 0.0000 3.6769
Pd 1.4031 3.4063 5.5153
Pd 1.4031 -3.4063 1.8384
Pd 2.8062 0.0000 0.0000
Pd 4.2093 3.4063 5.5153
Pd 4.2093 -3.4063 1.8384
```

Its space group is No. 64. The total magnetization comes out at 21.29 μB per cell. The calculation puts the total DFT energy (no corrections) at -7.9405 eV per atom. The calculation puts the density of states at the Fermi level at 2.042 states/eV per atom.



In order of appearance, energy relative to the elements, uncorrected = 26 -534 kJ/mol of formula units.